Entry 1:
# LiThAu, optimized geometry, DFT PBE
# E above lowest polymorph in meV per atom: 173
# Crystal system: tetragonal
# ρ in g cm⁻³: 10.9
# Density of states at the Fermi level in states/eV/atom: 0.545
data_LiThAu
_cell_length_a 3.5582
_cell_length_b 3.5582
_cell_length_c 5.7994
_cell_angle_alpha 107.86
_cell_angle_beta 107.86
_cell_angle_gamma 90.00
_space_group_name_H-M_alt 'P 1'
_space_group_IT_number 1
loop_
_space_group_symop_operation_xyz
'x,y,z'
loop_
_atom_site_label
_atom_site_type_symbol
_atom_site_fract_x
_atom_site_fract_y
_atom_site_fract_z
Au1 Au 0.2554 0.2554 0.5109
Th1 Th 0.9443 0.9443 0.8886
Li1 Li 0.6503 0.6503 0.3005


Entry 2:
# LiThAu, optimized geometry, DFT PBE
# E above lowest polymorph in meV per atom: 0
# Crystal system: tetragonal
# ρ in g cm⁻³: 10.5
# Density of states at the Fermi level in states/eV/atom: 0.829
data_LiThAu
_cell_length_a 3.9690
_cell_length_b 3.9697
_cell_length_c 8.7529
_cell_angle_alpha 90.00
_cell_angle_beta 90.00
_cell_angle_gamma 90.00
_space_group_name_H-M_alt 'P 1'
_space_group_IT_number 1
loop_
_space_group_symop_operation_xyz
'x,y,z'
loop_
_atom_site_label
_atom_site_type_symbol
_atom_site_fract_x
_atom_site_fract_y
_atom_site_fract_z
Th1 Th 0.2500 0.2500 0.3639
Th2 Th 0.7500 0.7500 0.6361
Au1 Au 0.2500 0.2500 0.7762
Au2 Au 0.7500 0.7500 0.2238
Li1 Li 0.7500 0.2500 0.0001
Li2 Li 0.2500 0.7500 0.9999


Entry 3:
# LiThAu2, optimized geometry, DFT PBE
# E above lowest polymorph in meV per atom: 85
# Crystal system: tetragonal
# ρ in g cm⁻³: 12.7
# Density of states at the Fermi level in states/eV/atom: 0.580
data_LiThAu2
_cell_length_a 3.4168
_cell_length_b 3.4168
_cell_length_c 7.0661
_cell_angle_alpha 90.00
_cell_angle_beta 90.00
_cell_angle_gamma 90.00
_space_group_name_H-M_alt 'P 1'
_space_group_IT_number 1
loop_
_space_group_symop_operation_xyz
'x,y,z'
loop_
_atom_site_label
_atom_site_type_symbol
_atom_site_fract_x
_atom_site_fract_y
_atom_site_fract_z
Au1 Au 0.0000 0.0000 0.7965
Au2 Au 0.0000 0.0000 0.2035
Th1 Th 0.5000 0.5000 0.5000
Li1 Li 0.5000 0.5000 0.0000


Entry 4:
# Li3ThAu2, optimized geometry, DFT PBE
# Crystal system: monoclinic
# ρ in g cm⁻³: 9.1
# Density of states at the Fermi level in states/eV/atom: 0.560
# DFT total energy in eV for the cell shown: -44.8
data_Li3ThAu2
_cell_length_a 4.2065
_cell_length_b 7.6374
_cell_length_c 8.6583
_cell_angle_alpha 116.80
_cell_angle_beta 90.00
_cell_angle_gamma 105.99
_space_group_name_H-M_alt 'P 1'
_space_group_IT_number 1
loop_
_space_group_symop_operation_xyz
'x,y,z'
loop_
_atom_site_label
_atom_site_type_symbol
_atom_site_fract_x
_atom_site_fract_y
_atom_site_fract_z
Li1 Li 0.2956 0.5913 0.4860
Li2 Li 0.9375 0.8750 0.5997
Li3 Li 0.5864 0.1728 0.6768
Li4 Li 0.4136 0.8272 0.3232
Li5 Li 0.0625 0.1250 0.4003
Li6 Li 0.7044 0.4087 0.5140
Th1 Th 0.8647 0.7294 0.9770
Th2 Th 0.1353 0.2706 0.0230
Au1 Au 0.4552 0.9104 0.8073
Au2 Au 0.5448 0.0896 0.1927
Au3 Au 0.7866 0.5731 0.2575
Au4 Au 0.2134 0.4269 0.7425